! DyTl3W2O9, relaxed, DFT GGA+U; values from VASP
&SYSTEM
  ibrav = 0, nat = 15, ntyp = 4
/
ATOMIC_SPECIES
O 16.00 O.upf
Dy 162.50 Dy.upf
Tl 204.38 Tl.upf
W 183.84 W.upf
CELL_PARAMETERS angstrom
5.889 0.000 0.000
-2.945 5.100 0.000
0.000 0.000 7.288
ATOMIC_POSITIONS crystal
O 0.500 0.000 0.000
O 0.642 0.821 0.309
O 0.179 0.358 0.309
O 0.821 0.179 0.691
O 0.500 0.500 0.000
O 0.821 0.642 0.691
O 0.179 0.821 0.309
O 0.358 0.179 0.691
O 0.000 0.500 0.000
Dy 0.000 0.000 0.500
Tl 0.667 0.333 0.331
Tl 0.333 0.667 0.669
Tl 0.000 0.000 0.000
W 0.667 0.333 0.837
W 0.333 0.667 0.163
! Electronic total energy in eV for the cell shown: -99.13